## Li2SbP (PBE)

Data for Li2SbP after structural relaxation.

POSCAR file:
```
Li2SbP
1.0
4.122 0.000 0.000
0.000 4.145 0.000
0.000 0.000 4.156
Li Sb P
2 1 1
Direct
0.000 0.000 0.000
0.500 0.000 0.500
0.000 0.500 0.500
0.500 0.500 0.000
```

Summary:
crystal system: orthorhombic
E_tot: -14.7 eV/f.u.
formation energy without anion corrections: -342 meV/atom